Entry 1:
Cd3CoTc: relaxed, GGA-PBE.

Space group = Pm-3m (221)
Spin magnetization = 4.44 μB per cell
Distance to the lowest polymorph of the same formula = 0.0 meV per atom
DOS at the Fermi energy = 7.640 states/eV/cell
Final energy = -14.7 eV per cell
ΔE_f = 1100 meV/atom

Cell lengths 4.8445, 4.8445, 4.8445 Å; angles 90.00, 90.00, 90.00 degrees
Each line ends with the local moment (μB).
Atoms (fractional coordinates):
Co (0.0000, 0.0000, 0.0000)  1.09
Cd (0.0000, 0.5000, 0.0000)  -0.04
Cd (0.0000, 0.0000, 0.5000)  -0.04
Cd (0.5000, 0.0000, 0.0000)  -0.04
Tc (0.5000, 0.5000, 0.5000)  3.20

=====

Entry 2:
Cd2Co2Tc: relaxed, GGA-PBE.

Space group = P4/mbm (127)
Spin magnetization = 2.77 μB per cell
DOS at the Fermi energy = 11.378 states/eV/cell
Final energy = -48.7 eV per cell
ΔE_f = 417 meV/atom

Cell lengths 6.0719, 6.0719, 4.2834 Å; angles 90.00, 90.00, 90.00 degrees
Each line ends with the local moment (μB).
Atoms (fractional coordinates):
Tc (0.5000, 0.5000, 0.0000)  0.23
Cd (0.1779, 0.6779, 0.5000)  -0.01
Co (0.3703, 0.8703, 0.0000)  0.57
Co (0.6297, 0.1297, 0.0000)  0.57
Cd (0.8221, 0.3221, 0.5000)  -0.01
Co (0.8703, 0.6297, 0.0000)  0.60
Tc (0.0000, 0.0000, 0.0000)  0.26
Cd (0.6779, 0.8221, 0.5000)  -0.02
Co (0.1297, 0.3703, 0.0000)  0.60
Cd (0.3221, 0.1779, 0.5000)  -0.02

=====

Entry 3:
CdCoTc3: relaxed, GGA-PBE.

Space group = Pm-3m (221)
Spin magnetization = 0.85 μB per cell
Distance to the lowest polymorph of the same formula = 0.0 meV per atom
DOS at the Fermi energy = 5.569 states/eV/cell
Final energy = -32.9 eV per cell
ΔE_f = 1244 meV/atom

Cell lengths 4.4451, 4.4451, 4.4451 Å; angles 90.00, 90.00, 90.00 degrees
Each line ends with the local moment (μB).
Atoms (fractional coordinates):
Tc (0.0000, 0.5000, 0.0000)  0.35
Tc (0.5000, 0.0000, 0.0000)  0.41
Tc (0.0000, 0.0000, 0.5000)  0.25
Cd (0.5000, 0.5000, 0.5000)  -0.01
Co (0.0000, 0.0000, 0.0000)  -0.19

=====

Entry 4:
CdCo3Tc: relaxed, GGA-PBE.

Space group = Pm-3m (221)
Spin magnetization = 7.91 μB per cell
Distance to the lowest polymorph of the same formula = 817.3 meV per atom
DOS at the Fermi energy = 14.531 states/eV/cell
Final energy = -22.2 eV per cell
ΔE_f = 2072 meV/atom

Cell lengths 4.5782, 4.5782, 4.5782 Å; angles 90.00, 90.00, 90.00 degrees
Each line ends with the local moment (μB).
Atoms (fractional coordinates):
Cd (0.0000, 0.0000, 0.0000)  -0.09
Co (0.5000, 0.0000, 0.0000)  1.65
Tc (0.5000, 0.5000, 0.5000)  2.71
Co (0.0000, 0.5000, 0.0000)  1.75
Co (0.0000, 0.0000, 0.5000)  1.82

=====

Entry 5:
Cd2Co2Te: relaxed, GGA-PBE.

Space group = P4/mbm (127)
Spin magnetization = 4.22 μB per cell
DOS at the Fermi energy = 12.840 states/eV/cell
Final energy = -35.9 eV per cell

Cell lengths 6.5314, 6.5314, 4.2222 Å; angles 90.00, 90.00, 90.00 degrees
Each line ends with the local moment (μB).
Atoms (fractional coordinates):
Cd (0.1571, 0.6571, 0.5000)  -0.03
Co (0.3656, 0.8656, 0.0000)  1.09
Te (0.5000, 0.5000, 0.0000)  0.05
Te (0.0000, 0.0000, 0.0000)  0.05
Co (0.8656, 0.6344, 0.0000)  1.08
Co (0.1344, 0.3656, 0.0000)  1.08
Co (0.6344, 0.1344, 0.0000)  1.09
Cd (0.6571, 0.8429, 0.5000)  -0.03
Cd (0.3429, 0.1571, 0.5000)  -0.03
Cd (0.8429, 0.3429, 0.5000)  -0.03

=====

Entry 6:
CdCo2Te: relaxed, GGA-PBE.

Space group = P4/mmm (123)
Spin magnetization = 1.83 μB per cell
Distance to the lowest polymorph of the same formula = 169.1 meV per atom
DOS at the Fermi energy = 3.071 states/eV/cell
Final energy = -16.8 eV per cell

Cell lengths 3.2863, 4.4063, 4.4063 Å; angles 90.00, 90.00, 90.00 degrees
Each line ends with the local moment (μB).
Atoms (fractional coordinates):
Co (0.0000, 0.0000, 0.0000)  0.98
Co (0.0000, 0.5000, 0.5000)  0.98
Te (0.5000, 0.5000, 0.0000)  0.01
Cd (0.5000, 0.0000, 0.5000)  -0.04

=====

Entry 7:
CdCo2Te: relaxed, GGA-PBE.

Space group = P2/m (10)
Spin magnetization = 1.78 μB per cell
Distance to the lowest polymorph of the same formula = 138.7 meV per atom
DOS at the Fermi energy = 2.977 states/eV/cell
Final energy = -16.9 eV per cell

Cell lengths 3.1794, 3.1881, 7.1014 Å; angles 63.23, 90.00, 90.00 degrees
Each line ends with the local moment (μB).
Atoms (fractional coordinates):
Co (0.0000, 0.9766, 0.0237)  0.94
Co (0.0000, 0.5234, 0.4763)  0.94
Te (0.5000, 0.2500, 0.2500)  0.00
Cd (0.5000, 0.7500, 0.7500)  -0.02

=====

Entry 8:
CdCo2Te: relaxed, GGA-PBE.

Space group = I-42d (122)
Spin magnetization = 0.00 μB per cell
Distance to the lowest polymorph of the same formula = 391.8 meV per atom
DOS at the Fermi energy = 7.154 states/eV/cell
Final energy = -31.8 eV per cell

Cell lengths 6.9314, 6.9314, 5.7275 Å; angles 52.76, 52.76, 90.00 degrees
Atoms (fractional coordinates):
Co (0.3750, 0.3418, 0.7500)
Te (0.7500, 0.2500, 0.5000)
Cd (0.5000, 0.5000, 0.0000)
Cd (0.2500, 0.7500, 0.5000)
Co (0.8750, 0.9082, 0.7500)
Te (0.0000, 0.0000, 0.0000)
Co (0.0918, 0.6250, 0.2500)
Co (0.6582, 0.1250, 0.2500)

=====

Entry 9:
CdCoTe: relaxed, GGA-PBE.

Space group = P3m1 (156)
Spin magnetization = 0.00 μB per cell
Distance to the lowest polymorph of the same formula = 46.0 meV per atom
DOS at the Fermi energy = 2.477 states/eV/cell
Final energy = -10.8 eV per cell

Cell lengths 3.4662, 3.4662, 6.1754 Å; angles 90.00, 90.00, 120.00 degrees
Atoms (fractional coordinates):
Co (0.6667, 0.3333, 0.3585)
Cd (0.0000, 0.0000, 0.0526)
Te (0.3333, 0.6667, 0.5890)

=====

Entry 10:
CdCo3Te: relaxed, GGA-PBE.

Space group = Pm-3m (221)
Spin magnetization = 3.24 μB per cell
Distance to the lowest polymorph of the same formula = 0.0 meV per atom
DOS at the Fermi energy = 5.212 states/eV/cell
Final energy = -20.6 eV per cell

Cell lengths 4.6467, 4.6467, 4.6467 Å; angles 90.00, 90.00, 90.00 degrees
Each line ends with the local moment (μB).
Atoms (fractional coordinates):
Co (0.0000, 0.0000, 0.5000)  1.14
Cd (0.5000, 0.5000, 0.5000)  -0.05
Co (0.0000, 0.5000, 0.0000)  1.14
Co (0.5000, 0.0000, 0.0000)  1.22
Te (0.0000, 0.0000, 0.0000)  0.00

=====

Entry 11:
CdCo2Te: relaxed, GGA-PBE.

Space group = P3m1 (156)
Spin magnetization = 3.13 μB per cell
Distance to the lowest polymorph of the same formula = 0.0 meV per atom
DOS at the Fermi energy = 3.056 states/eV/cell
Final energy = -17.5 eV per cell

Cell lengths 3.9800, 3.9800, 6.1237 Å; angles 90.03, 90.03, 60.00 degrees
Each line ends with the local moment (μB).
Atoms (fractional coordinates):
Co (0.0417, 0.0417, 0.8750)  1.60
Cd (0.3748, 0.3748, 0.1484)  -0.01
Te (0.3751, 0.3751, 0.6290)  0.03
Co (0.7084, 0.7084, 0.8475)  1.49

=====

Entry 12:
CdCo2Te: relaxed, GGA-PBE.

Space group = C2/m (12)
Spin magnetization = 1.77 μB per cell
Distance to the lowest polymorph of the same formula = 204.4 meV per atom
DOS at the Fermi energy = 3.721 states/eV/cell
Final energy = -16.7 eV per cell

Cell lengths 4.2520, 4.2520, 5.5962 Å; angles 78.59, 78.59, 43.83 degrees
Each line ends with the local moment (μB).
Atoms (fractional coordinates):
Co (0.0049, 0.0049, 0.9537)  0.93
Cd (0.2500, 0.2500, 0.2500)  -0.03
Te (0.7500, 0.7500, 0.7500)  -0.01
Co (0.4951, 0.4951, 0.5463)  0.93